<w>
A plane-wave DFT calculation with PBE was carried out for a geometry-optimized TlP2Cl structure.

The structure in CIF format:
```
data_TlP2Cl
_space_group_name_H-M_alt 'P 1'
_space_group_IT_number 1
_space_group_name_Hall 'P 1'
_cell_length_a 3.4829
_cell_length_b 3.4829
_cell_length_c 10.2210
_cell_angle_alpha 80.32
_cell_angle_beta 80.32
_cell_angle_gamma 60.00
loop_
_atom_site_label
_atom_site_fract_x
_atom_site_fract_y
_atom_site_fract_z
P1 0.0602 0.0602 0.8211
P2 0.6877 0.6877 0.9403
Tl1 0.5106 0.5106 0.4670
Cl1 0.2415 0.2415 0.2715
```

## Properties
Crystal system ... monoclinic
Magnetic moment ... 0.0 μB per cell
Calculated volume ... 105.33 Å³ per cell

<x>
A plane-wave DFT calculation with PBE was carried out for a geometry-optimized TlP2Cl structure.

The structure in CIF format:
```
data_TlP2Cl
_space_group_name_H-M_alt 'P 1'
_space_group_IT_number 1
_space_group_name_Hall 'P 1'
_cell_length_a 3.4759
_cell_length_b 3.4759
_cell_length_c 7.7423
_cell_angle_alpha 90.00
_cell_angle_beta 90.00
_cell_angle_gamma 112.15
loop_
_atom_site_label
_atom_site_fract_x
_atom_site_fract_y
_atom_site_fract_z
P1 0.0000 0.0000 0.0077
P2 0.0000 0.0000 0.4923
Tl1 0.5000 0.5000 0.2500
Cl1 0.5000 0.5000 0.7500
```

## Properties
Crystal system ... orthorhombic
Magnetic moment ... 0.0 μB per cell
Calculated volume ... 86.64 Å³ per cell

<y>
A plane-wave DFT calculation with PBE was carried out for a geometry-optimized TlP2Cl structure.

The structure in CIF format:
```
data_TlP2Cl
_space_group_name_H-M_alt 'P 1'
_space_group_IT_number 1
_space_group_name_Hall 'P 1'
_cell_length_a 6.3476
_cell_length_b 6.3476
_cell_length_c 4.9995
_cell_angle_alpha 97.72
_cell_angle_beta 97.72
_cell_angle_gamma 30.86
loop_
_atom_site_label
_atom_site_fract_x
_atom_site_fract_y
_atom_site_fract_z
Cl1 0.2500 0.2500 0.2500
P1 0.5173 0.5173 0.6185
P2 0.9827 0.9827 0.8815
Tl1 0.7500 0.7500 0.7500
```

## Properties
Crystal system ... monoclinic
Magnetic moment ... 0.0 μB per cell
Calculated volume ... 102.32 Å³ per cell

<z>
A plane-wave DFT calculation with PBE was carried out for a geometry-optimized TlP2Cl structure.

The structure in CIF format:
```
data_TlP2Cl
_space_group_name_H-M_alt 'P 1'
_space_group_IT_number 1
_space_group_name_Hall 'P 1'
_cell_length_a 4.8819
_cell_length_b 4.8819
_cell_length_c 4.8819
_cell_angle_alpha 60.00
_cell_angle_beta 60.00
_cell_angle_gamma 60.00
loop_
_atom_site_label
_atom_site_fract_x
_atom_site_fract_y
_atom_site_fract_z
Tl1 0.2500 0.2500 0.2500
P1 0.0000 0.0000 0.0000
P2 0.7500 0.7500 0.7500
Cl1 0.5000 0.5000 0.5000
```

## Properties
Crystal system ... cubic
Magnetic moment ... 0.0 μB per cell
Calculated volume ... 82.27 Å³ per cell

Energy ordering: <w> at the bottom, the next structure 83 meV/atom above.

<w>
A plane-wave DFT calculation with PBE was carried out for a geometry-optimized TlP2Cl structure.

The structure in CIF format:
```
data_TlP2Cl
_space_group_name_H-M_alt 'P 1'
_space_group_IT_number 1
_space_group_name_Hall 'P 1'
_cell_length_a 3.3674
_cell_length_b 4.1223
_cell_length_c 7.9922
_cell_angle_alpha 76.22
_cell_angle_beta 90.00
_cell_angle_gamma 90.00
loop_
_atom_site_label
_atom_site_fract_x
_atom_site_fract_y
_atom_site_fract_z
P1 0.0000 0.9648 0.1250
P2 0.5000 0.2846 0.1345
Tl1 0.0000 0.4178 0.5282
Cl1 0.5000 0.8328 0.7122
```

## Properties
Crystal system ... monoclinic
Magnetic moment ... 0.0 μB per cell
Calculated volume ... 107.75 Å³ per cell

<x>
A plane-wave DFT calculation with PBE was carried out for a geometry-optimized TlP2Cl structure.

The structure in CIF format:
```
data_TlP2Cl
_space_group_name_H-M_alt 'P 1'
_space_group_IT_number 1
_space_group_name_Hall 'P 1'
_cell_length_a 7.5399
_cell_length_b 7.5399
_cell_length_c 7.5399
_cell_angle_alpha 150.73
_cell_angle_beta 150.71
_cell_angle_gamma 41.88
loop_
_atom_site_label
_atom_site_fract_x
_atom_site_fract_y
_atom_site_fract_z
P1 0.5002 0.5002 0.0000
P2 0.9998 0.9998 0.0000
Cl1 0.2500 0.7500 0.5000
Tl1 0.7500 0.2500 0.5000
```

## Properties
Crystal system ... tetragonal
Magnetic moment ... 0.0 μB per cell
Calculated volume ... 102.29 Å³ per cell

Energy ordering: <w> at the bottom, the next structure 566 meV/atom above.

<w>
A plane-wave DFT calculation with PBE was carried out for a geometry-optimized TlPCl2 structure.

The structure in CIF format:
```
data_TlPCl2
_space_group_name_H-M_alt 'P 1'
_space_group_IT_number 1
_space_group_name_Hall 'P 1'
_cell_length_a 6.0169
_cell_length_b 6.0169
_cell_length_c 5.8851
_cell_angle_alpha 60.77
_cell_angle_beta 60.77
_cell_angle_gamma 34.82
loop_
_atom_site_label
_atom_site_fract_x
_atom_site_fract_y
_atom_site_fract_z
Cl1 0.4248 0.4248 0.5748
Cl2 0.0752 0.0752 0.9252
P1 0.7500 0.7500 0.7500
Tl1 0.2500 0.2500 0.2500
```

## Properties
Crystal system ... orthorhombic
Magnetic moment ... 0.0 μB per cell
Calculated volume ... 104.53 Å³ per cell

<x>
A plane-wave DFT calculation with PBE was carried out for a geometry-optimized TlPCl2 structure.

The structure in CIF format:
```
data_TlPCl2
_space_group_name_H-M_alt 'P 1'
_space_group_IT_number 1
_space_group_name_Hall 'P 1'
_cell_length_a 3.5265
_cell_length_b 6.0791
_cell_length_c 4.4219
_cell_angle_alpha 90.00
_cell_angle_beta 90.00
_cell_angle_gamma 90.00
loop_
_atom_site_label
_atom_site_fract_x
_atom_site_fract_y
_atom_site_fract_z
Tl1 0.0000 0.5000 0.5000
P1 0.5000 0.0000 0.5000
Cl1 0.5000 0.5000 0.0000
Cl2 0.0000 0.0000 0.0000
```

## Properties
Crystal system ... orthorhombic
Magnetic moment ... 0.0 μB per cell
Calculated volume ... 94.80 Å³ per cell

<y>
A plane-wave DFT calculation with PBE was carried out for a geometry-optimized TlPCl2 structure.

The structure in CIF format:
```
data_TlPCl2
_space_group_name_H-M_alt 'P 1'
_space_group_IT_number 1
_space_group_name_Hall 'P 1'
_cell_length_a 3.5498
_cell_length_b 3.5498
_cell_length_c 8.5781
_cell_angle_alpha 90.00
_cell_angle_beta 90.00
_cell_angle_gamma 90.00
loop_
_atom_site_label
_atom_site_fract_x
_atom_site_fract_y
_atom_site_fract_z
Tl1 0.5000 0.5000 0.7752
P1 0.0000 0.0000 0.4168
Cl1 0.5000 0.5000 0.3455
Cl2 0.0000 0.0000 0.9625
```

## Properties
Crystal system ... tetragonal
Magnetic moment ... 0.0 μB per cell
Calculated volume ... 108.10 Å³ per cell

Energy ordering: <w> at the bottom, the next structure 256 meV/atom above.

<w>
A plane-wave DFT calculation with PBE was carried out for a geometry-optimized TlPCl2 structure.

The structure in CIF format:
```
data_TlPCl2
_space_group_name_H-M_alt 'P 1'
_space_group_IT_number 1
_space_group_name_Hall 'P 1'
_cell_length_a 4.6815
_cell_length_b 5.5681
_cell_length_c 5.9007
_cell_angle_alpha 51.68
_cell_angle_beta 90.00
_cell_angle_gamma 90.00
loop_
_atom_site_label
_atom_site_fract_x
_atom_site_fract_y
_atom_site_fract_z
Tl1 0.5000 0.6484 0.6866
Cl1 0.0000 0.0496 0.9315
Cl2 0.5000 0.2913 0.3064
P1 0.0000 0.5107 0.5755
```

## Properties
Crystal system ... monoclinic
Magnetic moment ... 0.0 μB per cell
Calculated volume ... 120.68 Å³ per cell

<x>
A plane-wave DFT calculation with PBE was carried out for a geometry-optimized TlPCl2 structure.

The structure in CIF format:
```
data_TlPCl2
_space_group_name_H-M_alt 'P 1'
_space_group_IT_number 1
_space_group_name_Hall 'P 1'
_cell_length_a 5.2469
_cell_length_b 5.2469
_cell_length_c 5.2469
_cell_angle_alpha 60.00
_cell_angle_beta 60.00
_cell_angle_gamma 60.00
loop_
_atom_site_label
_atom_site_fract_x
_atom_site_fract_y
_atom_site_fract_z
Tl1 0.5000 0.5000 0.5000
Cl1 0.7500 0.7500 0.7500
Cl2 0.2500 0.2500 0.2500
P1 0.0000 0.0000 0.0000
```

## Properties
Crystal system ... cubic
Magnetic moment ... 2.0 μB per cell
Calculated volume ... 102.14 Å³ per cell

<y>
A plane-wave DFT calculation with PBE was carried out for a geometry-optimized TlPCl2 structure.

The structure in CIF format:
```
data_TlPCl2
_space_group_name_H-M_alt 'P 1'
_space_group_IT_number 1
_space_group_name_Hall 'P 1'
_cell_length_a 5.1664
_cell_length_b 5.1933
_cell_length_c 5.8750
_cell_angle_alpha 90.00
_cell_angle_beta 90.00
_cell_angle_gamma 90.00
loop_
_atom_site_label
_atom_site_fract_x
_atom_site_fract_y
_atom_site_fract_z
Cl1 0.5000 0.5000 0.2942
Cl2 0.0000 0.0000 0.8762
Tl1 0.5000 0.5000 0.8077
P1 0.0000 0.0000 0.5219
```

## Properties
Crystal system ... orthorhombic
Magnetic moment ... 2.1 μB per cell
Calculated volume ... 157.63 Å³ per cell

<z>
A plane-wave DFT calculation with PBE was carried out for a geometry-optimized TlPCl2 structure.

The structure in CIF format:
```
data_TlPCl2
_space_group_name_H-M_alt 'P 1'
_space_group_IT_number 1
_space_group_name_Hall 'P 1'
_cell_length_a 8.1326
_cell_length_b 8.1326
_cell_length_c 8.1326
_cell_angle_alpha 154.30
_cell_angle_beta 152.44
_cell_angle_gamma 38.04
loop_
_atom_site_label
_atom_site_fract_x
_atom_site_fract_y
_atom_site_fract_z
Tl1 0.3111 0.8111 0.5000
P1 0.4734 0.4734 0.0000
Cl1 0.9948 0.9948 0.0000
Cl2 0.7207 0.2207 0.5000
```

## Properties
Crystal system ... orthorhombic
Magnetic moment ... 0.0 μB per cell
Calculated volume ... 107.74 Å³ per cell

Energy ordering: <w> at the bottom, the next structure 250 meV/atom above.

<w>
A plane-wave DFT calculation with PBE was carried out for a geometry-optimized TlPCl2 structure.

The structure in CIF format:
```
data_TlPCl2
_space_group_name_H-M_alt 'P 1'
_space_group_IT_number 1
_space_group_name_Hall 'P 1'
_cell_length_a 9.2072
_cell_length_b 9.2072
_cell_length_c 3.4312
_cell_angle_alpha 79.21
_cell_angle_beta 79.21
_cell_angle_gamma 25.36
loop_
_atom_site_label
_atom_site_fract_x
_atom_site_fract_y
_atom_site_fract_z
Cl1 0.7048 0.7048 0.6735
Cl2 0.0340 0.0340 0.3380
Tl1 0.2855 0.2855 0.0921
P1 0.4757 0.4757 0.3965
```

## Properties
Crystal system ... monoclinic
Magnetic moment ... 0.0 μB per cell
Calculated volume ... 122.28 Å³ per cell

<x>
A plane-wave DFT calculation with PBE was carried out for a geometry-optimized TlPCl2 structure.

The structure in CIF format:
```
data_TlPCl2
_space_group_name_H-M_alt 'P 1'
_space_group_IT_number 1
_space_group_name_Hall 'P 1'
_cell_length_a 4.1986
_cell_length_b 4.1986
_cell_length_c 8.6633
_cell_angle_alpha 90.00
_cell_angle_beta 90.00
_cell_angle_gamma 126.43
loop_
_atom_site_label
_atom_site_fract_x
_atom_site_fract_y
_atom_site_fract_z
Cl1 0.5000 0.5000 0.3294
Cl2 0.0000 0.0000 0.9552
P1 0.0000 0.0000 0.4836
Tl1 0.5000 0.5000 0.7318
```

## Properties
Crystal system ... orthorhombic
Magnetic moment ... 0.1 μB per cell
Calculated volume ... 122.88 Å³ per cell

<y>
A plane-wave DFT calculation with PBE was carried out for a geometry-optimized TlPCl2 structure.

The structure in CIF format:
```
data_TlPCl2
_space_group_name_H-M_alt 'P 1'
_space_group_IT_number 1
_space_group_name_Hall 'P 1'
_cell_length_a 9.2410
_cell_length_b 9.2410
_cell_length_c 9.2410
_cell_angle_alpha 21.45
_cell_angle_beta 21.45
_cell_angle_gamma 21.45
loop_
_atom_site_label
_atom_site_fract_x
_atom_site_fract_y
_atom_site_fract_z
P1 0.2500 0.2500 0.2500
Tl1 0.7500 0.7500 0.7500
Cl1 0.9927 0.9927 0.9927
Cl2 0.5073 0.5073 0.5073
```

## Properties
Crystal system ... trigonal
Magnetic moment ... 0.0 μB per cell
Calculated volume ... 92.47 Å³ per cell

Energy ordering: <w> at the bottom, the next structure 132 meV/atom above.